(1)
# Li2Cd3Pd2 (GGA-PBE, optimized geometry)
data_Li2Cd3Pd2
_chemical_formula_sum 'Li4 Cd6 Pd4'
_cell_length_a 9.841
_cell_length_b 4.517
_cell_length_c 5.371
_cell_angle_alpha 90.00
_cell_angle_beta 97.35
_cell_angle_gamma 90.00
_symmetry_space_group_name_H-M 'C 1 2/m 1'
_symmetry_Int_Tables_number 12
loop_
_symmetry_equiv_pos_as_xyz
'x,y,z'
'-x,-y,-z'
'-x,y,-z'
'x,-y,z'
'x+1/2,y+1/2,z'
'-x+1/2,-y+1/2,-z'
'-x+1/2,y+1/2,-z'
'x+1/2,-y+1/2,z'
loop_
_atom_site_label
_atom_site_type_symbol
_atom_site_fract_x
_atom_site_fract_y
_atom_site_fract_z
_atom_site_occupancy
Li1 Li 0.133 0.000 0.049 1
Cd1 Cd 0.000 0.000 0.500 1
Cd2 Cd 0.199 0.500 0.322 1
Pd1 Pd 0.090 0.500 0.797 1
# Volume, Å³ per cell: 236.77
# Energy of formation from the pure elements, eV per atom: -0.348
# Size of the total moment, μB per atom: 0.0000

---

(2)
# SbTe2W (GGA-PBE, optimized geometry)
data_SbTe2W
_chemical_formula_sum 'Sb1 Te2 W1'
_cell_length_a 3.266
_cell_length_b 3.266
_cell_length_c 9.678
_cell_angle_alpha 90.00
_cell_angle_beta 90.00
_cell_angle_gamma 90.00
_symmetry_space_group_name_H-M 'P 4 m m'
_symmetry_Int_Tables_number 99
loop_
_symmetry_equiv_pos_as_xyz
'x,y,z'
'-y,x,z'
'-x,-y,z'
'y,-x,z'
'-x,y,z'
'y,x,z'
'x,-y,z'
'-y,-x,z'
loop_
_atom_site_label
_atom_site_type_symbol
_atom_site_fract_x
_atom_site_fract_y
_atom_site_fract_z
_atom_site_occupancy
Sb1 Sb 0.000 0.000 0.000 1
Te1 Te 0.000 0.000 0.649 1
Te2 Te 0.500 0.500 0.307 1
W1 W 0.500 0.500 0.816 1
# Volume, Å³ per cell: 103.22
# Size of the total moment, μB per atom: 0.0000
# ΔE_f (raw), meV/atom: 289